Compound: RbSeIO2
Source: Alexandria via LeMat-Bulk
Functional: PBE-GGA
Structure: relaxed

Unit cell a=4.3896 b=4.3896 c=5.7202 alpha=90.00 beta=90.00 gamma=90.00
Space group P4/mmm (No. 123)
One atom of each set of equivalent atoms:
Rb: 0.0000 0.0000 0.0000 (multiplicity 1)
Se: 0.5000 0.5000 0.5000 (multiplicity 1)
I: 0.5000 0.5000 0.0000 (multiplicity 1)
O: 0.0000 0.5000 0.5000 (multiplicity 2)

For the magnetic moment, the calculation gives 0.0 μB per cell. As for the polymorph energy (0 for the lowest one): 0.000 eV per formula unit. As for the density of states at the Fermi level: 1.867 states/eV/cell. The calculation puts the calculated total energy at -0.1235 Ha/atom. As for the calculated density: 4.87 Mg/m³. As for the formation energy without anion corrections: -176 meV/atom.